5
Lattice="-2.731 -3.984 0.636 2.628 -1.095 4.428 -3.219 2.614 2.557" Properties=species:S:1:pos:R:3 comment="CdGa2NiW, relaxed, DFT GGA-PBE" dos_ef_per_ev_cell=5.22 formation_energy_ev_per_atom=1.2563 m_tot_mub_per_atom=0.218 pbc="T T T"
Ni -1.661 -1.232 3.810
Ga -1.365 -1.992 0.318
Ga -1.610 1.307 1.278
W 0.000 0.000 0.000
Cd 1.314 -0.547 2.214